# 1
This record from the Alexandria database describes crystalline Cr2FeSnH at its relaxed geometry. The functional is PBE.

a = 3.861 Å, b = 3.861 Å, c = 3.870 Å
α = 90.00°, β = 90.00°, γ = 90.00°
Site moments in Bohr magnetons follow the coordinates.
Atoms (fractional coordinates):
Cr  0.000  0.500  0.000  1.44
Cr  0.500  0.000  0.000  1.44
Sn  0.500  0.500  0.500  -0.09
H  0.000  0.000  0.000  -0.01
Fe  0.000  0.000  0.500  1.87

Computed properties:
Uncorrected energy   -34.24 eV/cell
Crystal system   tetragonal

=====

# 2
This record from the Alexandria database describes crystalline LiThIO6 at its relaxed geometry. The functional is PBE.

a = 5.062 Å, b = 5.062 Å, c = 9.824 Å
α = 90.00°, β = 90.00°, γ = 90.00°
Atoms (fractional coordinates):
Li  0.500  0.500  0.154
Li  0.000  0.000  0.654
Th  0.500  0.500  0.492
Th  0.000  0.000  0.992
I  0.500  0.500  0.835
I  0.000  0.000  0.335
O  0.178  0.822  0.480
O  0.822  0.178  0.480
O  0.322  0.322  0.980
O  0.678  0.678  0.980
O  0.183  0.817  0.194
O  0.817  0.183  0.194
O  0.317  0.317  0.694
O  0.683  0.683  0.694
O  0.766  0.234  0.835
O  0.234  0.766  0.835
O  0.734  0.734  0.335
O  0.266  0.266  0.335

Computed properties:
Formation energy from raw total energies   -1.73 eV per atom
Crystal system   tetragonal

=====

# 3
This record from the Alexandria database describes crystalline PmY12Tm7 at its relaxed geometry. The functional is PBE.

a = 8.677 Å, b = 8.677 Å, c = 8.677 Å
α = 95.29°, β = 95.29°, γ = 95.29°
Atoms (fractional coordinates):
Pm  0.000  0.000  0.000
Y  0.812  0.249  0.684
Y  0.751  0.316  0.188
Y  0.475  0.147  0.414
Y  0.853  0.586  0.525
Y  0.316  0.188  0.751
Y  0.586  0.525  0.853
Y  0.414  0.475  0.147
Y  0.684  0.812  0.249
Y  0.147  0.414  0.475
Y  0.525  0.853  0.586
Y  0.249  0.684  0.812
Y  0.188  0.751  0.316
Tm  0.919  0.649  0.983
Tm  0.351  0.017  0.081
Tm  0.017  0.081  0.351
Tm  0.500  0.500  0.500
Tm  0.983  0.919  0.649
Tm  0.649  0.983  0.919
Tm  0.081  0.351  0.017

Computed properties:
Energy above the lowest structure with this stoichiometry   0.000 eV/atom
Energy relative to the elements   294.5 meV per atom
Crystal system   trigonal

=====

# 4
This record from the Alexandria database describes crystalline Ca3Np2UN6 at its relaxed geometry. The functional is PBE.

a = 6.053 Å, b = 6.053 Å, c = 6.047 Å
α = 99.60°, β = 99.60°, γ = 120.01°
Site moments in Bohr magnetons follow the coordinates.
Atoms (fractional coordinates):
Ca  0.167  0.833  0.500  0.06
Ca  0.833  0.167  0.500  0.06
Ca  0.500  0.500  0.500  0.06
Np  0.333  0.667  0.000  3.20
Np  0.667  0.333  0.000  3.20
U  0.000  0.000  0.000  1.35
N  0.929  0.603  0.786  -0.12
N  0.745  0.745  0.213  -0.12
N  0.071  0.397  0.214  -0.12
N  0.603  0.929  0.786  -0.12
N  0.255  0.255  0.787  -0.12
N  0.397  0.071  0.214  -0.12

Computed properties:
Formation energy from raw total energies   -1.21 eV per atom
Crystal system   monoclinic

=====

# 5
This record from the Alexandria database describes crystalline Ti2CrGaRe at its relaxed geometry. The functional is PBE.

a = 4.684 Å, b = 4.771 Å, c = 4.684 Å
α = 90.00°, β = 90.00°, γ = 90.00°
Site moments in Bohr magnetons follow the coordinates.
Atoms (fractional coordinates):
Re  0.000  0.000  0.000  -0.05
Ti  0.000  0.000  0.500  0.05
Ti  0.500  0.000  0.000  0.07
Ga  0.000  0.500  0.000  -0.01
Cr  0.500  0.500  0.500  0.09

Computed properties:
Energy relative to the elements   1160.6 meV per atom
Crystal system   tetragonal

=====

# 6
This record from the Alexandria database describes crystalline NaY4ThSe8 at its relaxed geometry. The functional is PBE.

a = 8.454 Å, b = 8.454 Å, c = 8.547 Å
α = 60.36°, β = 60.36°, γ = 60.00°
Atoms (fractional coordinates):
Na  0.372  0.372  0.884
Y  0.629  0.629  0.114
Y  0.005  0.487  0.503
Y  0.487  0.005  0.503
Y  0.005  0.005  0.503
Th  0.003  0.003  0.990
Se  0.243  0.777  0.738
Se  0.777  0.243  0.738
Se  0.243  0.243  0.738
Se  0.240  0.240  0.281
Se  0.755  0.228  0.262
Se  0.228  0.755  0.262
Se  0.755  0.755  0.262
Se  0.760  0.760  0.720

Computed properties:
Formation energy from raw total energies   -1.71 eV per atom
Crystal system   trigonal

=====

# 7
This record from the Alexandria database describes crystalline HfZrPdAu at its relaxed geometry. The functional is PBE.

a = 3.463 Å, b = 3.463 Å, c = 6.436 Å
α = 90.00°, β = 90.00°, γ = 90.00°
Atoms (fractional coordinates):
Hf  0.000  0.000  0.824
Zr  0.500  0.500  0.127
Pd  0.500  0.500  0.615
Au  0.000  0.000  0.362

Computed properties:
Energy above the lowest structure with this stoichiometry   0.000 eV/atom
Energy relative to the elements   -605.2 meV per atom
Crystal system   tetragonal

=====

# 8
This record from the Alexandria database describes crystalline CePm2Y at its relaxed geometry. The functional is PBE.

a = 3.576 Å, b = 3.576 Å, c = 10.192 Å
α = 90.00°, β = 90.00°, γ = 90.00°
Site moments in Bohr magnetons follow the coordinates.
Atoms (fractional coordinates):
Y  0.500  0.500  0.500  -0.01
Ce  0.500  0.500  0.000  0.47
Pm  0.000  0.000  0.757  -0.01
Pm  0.000  0.000  0.243  -0.01

Computed properties:
Energy above the lowest structure with this stoichiometry   0.000 eV/atom
Energy relative to the elements   62.7 meV per atom
Crystal system   tetragonal